Model a:
MgFeAg | PBE | optimized geometry

Lattice parameters (Å, degrees): 6.224 6.224 6.224 153.36 153.36 38.03
Sites, in units of the cell vectors:
Mg (0.000, 0.000, 0.000)
Fe (0.660, 0.660, 0.000)
Ag (0.320, 0.320, 0.000)

***

Model b:
MgFeAg | PBE | optimized geometry

Lattice parameters (Å, degrees): 5.001 5.001 5.001 146.80 134.09 57.82
Sites, in units of the cell vectors:
Mg (0.000, 0.000, 0.000)
Fe (0.335, 0.335, 0.000)
Ag (0.674, 0.674, 0.000)

***

It is model a that is the most stable of them.